[1]
First-principles (PBE) data for crystalline KPrCdSe3 at its relaxed geometry, as listed in the Open Quantum Materials Database.

Cell lengths 8.630, 4.344, 10.610 Å; angles 90.00, 106.77, 90.00 degrees
Atoms (fractional coordinates):
Cd1 0.419 0.750 0.389
Cd2 0.581 0.250 0.611
K1 0.755 0.250 0.274
K2 0.245 0.750 0.726
Pr1 0.193 0.250 0.129
Pr2 0.807 0.750 0.871
Se1 0.438 0.750 0.146
Se2 0.964 0.750 0.153
Se3 0.263 0.250 0.446
Se4 0.737 0.750 0.554
Se5 0.036 0.250 0.847
Se6 0.562 0.250 0.854

Summary:
E_tot = -50.33 eV/cell

***

[2]
First-principles (PBE) data for crystalline KCdPt at its relaxed geometry, as listed in the Open Quantum Materials Database.

Cell lengths 4.904, 4.904, 4.904 Å; angles 60.00, 60.00, 60.00 degrees
Atoms (fractional coordinates):
Cd1 0.250 0.250 0.250
K1 0.750 0.750 0.750
Pt1 0.000 0.000 0.000

Summary:
E_tot = -7.75 eV/cell
distance to the lowest polymorph of the same formula = 0 meV per atom

***

Which of these has the highest E_tot?
KCdPt

***

The highest E_tot belongs to which entry?
KCdPt

***

What is the formula in the first record?
KPrCdSe3

***

What is the E_tot in the first record?
-50.33 eV/cell